[1]
Material: Ho3AsSe3
Method: DFT, PBE
State: optimized geometry

Properties
As for the total magnetic moment: 0.0 Bohr magnetons per cell. For the raw total energy, the calculation gives -5.757 eV per atom. The value obtained for the volume is 25.82 A^3/atom. As for the uncorrected formation energy: -1637 meV per atom.

Cell lengths 7.6235, 7.6235, 7.6235 Å; angles 67.18, 67.18, 67.18 degrees
With the nearest neighbours (Å) after each atom.
Element x y z (fractional)
Ho1 0.0325 0.7945 0.4352  4 Se 2.84-2.97, 2 As 2.92-3.04
Ho2 0.2055 0.5648 0.9675  4 Se 2.84-2.97, 2 As 2.92-3.04
Ho3 0.4352 0.0325 0.7945  4 Se 2.84-2.97, 2 As 2.92-3.04
Ho4 0.5648 0.9675 0.2055  4 Se 2.84-2.97, 2 As 2.92-3.04
Ho5 0.7945 0.4352 0.0325  4 Se 2.84-2.97, 2 As 2.92-3.04
Ho6 0.9675 0.2055 0.5648  4 Se 2.84-2.97, 2 As 2.92-3.04
As1 0.1634 0.1634 0.1634  6 Ho 2.92-3.04
As2 0.8366 0.8366 0.8366  6 Ho 2.92-3.04
Se1 0.1430 0.3939 0.6814  4 Ho 2.84-2.97
Se2 0.3186 0.8570 0.6061  4 Ho 2.84-2.97
Se3 0.3939 0.6814 0.1430  4 Ho 2.84-2.97
Se4 0.6061 0.3186 0.8570  4 Ho 2.84-2.97
Se5 0.6814 0.1430 0.3939  4 Ho 2.84-2.97
Se6 0.8570 0.6061 0.3186  4 Ho 2.84-2.97

[2]
Material: Rb8Zr6BeBr20
Method: DFT, PBE
State: optimized geometry

Properties
As for the total magnetic moment: 0.0 Bohr magnetons per cell. For the raw total energy, the calculation gives -4.268 eV per atom. The value obtained for the volume is 35.58 A^3/atom. As for the uncorrected formation energy: -1519 meV per atom.

Cell lengths 12.0758, 12.0758, 12.0758 Å; angles 60.00, 60.00, 60.00 degrees
With the nearest neighbours (Å) after each atom.
Element x y z (fractional)
Rb1 0.1394 0.1394 0.1394  4 Br 3.27-3.47
Rb2 0.1394 0.1394 0.5819  4 Br 3.27-3.47
Rb3 0.1394 0.5819 0.1394  4 Br 3.27-3.47
Rb4 0.4181 0.8606 0.8606  4 Br 3.27-3.47
Rb5 0.5819 0.1394 0.1394  4 Br 3.27-3.47
Rb6 0.8606 0.4181 0.8606  4 Br 3.27-3.47
Rb7 0.8606 0.8606 0.4181  4 Br 3.27-3.47
Rb8 0.8606 0.8606 0.8606  4 Br 3.27-3.47
Zr1 0.3596 0.3596 0.6404  1 Be 2.40
Zr2 0.3596 0.6404 0.3596  1 Be 2.40
Zr3 0.3596 0.6404 0.6404  1 Be 2.40
Zr4 0.6404 0.3596 0.3596  1 Be 2.40
Zr5 0.6404 0.3596 0.6404  1 Be 2.40
Zr6 0.6404 0.6404 0.3596  1 Be 2.40
Be1 0.5000 0.5000 0.5000  6 Zr 2.40
Br1 0.1801 0.5000 0.5000  2 Zr 2.75
Br2 0.1801 0.5000 0.8199  2 Zr 2.75
Br3 0.1801 0.8199 0.5000  2 Zr 2.75
Br4 0.1889 0.1889 0.8111  1 Zr 2.92
Br5 0.1889 0.8111 0.1889  1 Zr 2.92
Br6 0.1889 0.8111 0.8111  1 Zr 2.92
Br7 0.2500 0.2500 0.2500  4 Rb 3.27
Br8 0.5000 0.1801 0.5000  2 Zr 2.75
Br9 0.5000 0.1801 0.8199  2 Zr 2.75
Br10 0.5000 0.5000 0.1801  2 Zr 2.75
Br11 0.5000 0.5000 0.8199  2 Zr 2.75
Br12 0.5000 0.8199 0.1801  2 Zr 2.75
Br13 0.5000 0.8199 0.5000  2 Zr 2.75
Br14 0.7500 0.7500 0.7500  4 Rb 3.27
Br15 0.8111 0.1889 0.1889  1 Zr 2.92
Br16 0.8111 0.1889 0.8111  1 Zr 2.92
Br17 0.8111 0.8111 0.1889  1 Zr 2.92
Br18 0.8199 0.1801 0.5000  2 Zr 2.75
Br19 0.8199 0.5000 0.1801  2 Zr 2.75
Br20 0.8199 0.5000 0.5000  2 Zr 2.75

[3]
Material: ScZnBr2
Method: DFT, PBE
State: optimized geometry

Properties
As for the total magnetic moment: 0.9 Bohr magnetons per cell. For the raw total energy, the calculation gives -3.479 eV per atom. The calculation puts the offset from the most stable computed form at 0.164 eV/atom. The value obtained for the volume is 25.56 A^3/atom. As for the uncorrected formation energy: -741 meV per atom.

Cell lengths 3.4792, 3.4792, 8.4471 Å; angles 90.00, 90.00, 90.00 degrees
With the nearest neighbours (Å) after each atom.
Element x y z (fractional)
Sc1 0.0000 0.0000 0.0000  5 Br 2.96-3.12, 4 Zn 3.00
Zn1 0.5000 0.5000 0.2041  4 Br 2.83, 4 Sc 3.00
Br1 0.0000 0.0000 0.3691  4 Zn 2.83, 1 Sc 3.12
Br2 0.5000 0.5000 0.8042  4 Sc 2.96

[4]
Material: Te2AsW
Method: DFT, PBE
State: optimized geometry

Properties
As for the total magnetic moment: 0.0 Bohr magnetons per cell. For the raw total energy, the calculation gives -5.530 eV per atom. The value obtained for the volume is 24.88 A^3/atom. As for the uncorrected formation energy: 442 meV per atom.

Cell lengths 9.7800, 9.7800, 9.7800 Å; angles 20.40, 20.40, 20.40 degrees
With the nearest neighbours (Å) after each atom.
Element x y z (fractional)
Te1 0.1011 0.1011 0.1011  3 W 2.75, 1 As 2.90
Te2 0.8989 0.8989 0.8989  3 W 2.75, 1 As 2.90
As1 0.0000 0.0000 0.0000  2 Te 2.90
W1 0.5000 0.5000 0.5000  6 Te 2.75

[5]
Material: La2ScW
Method: DFT, PBE
State: optimized geometry

Properties
As for the total magnetic moment: 0.0 Bohr magnetons per cell. The formation energy from the elements is 0.44 eV/atom. For the raw total energy, the calculation gives -6.842 eV per atom. The calculation puts the offset from the most stable computed form at 0.069 eV/atom. The value obtained for the volume is 26.20 A^3/atom.

Cell lengths 3.2889, 4.5718, 7.0789 Å; angles 90.00, 100.12, 90.00 degrees
With the nearest neighbours (Å) after each atom.
Element x y z (fractional)
La1 0.0000 0.0000 0.0000  1 W 3.02, 2 La 3.29, 2 Sc 3.33
La2 0.3442 0.5000 0.6832  2 W 2.98, 1 Sc 3.10, 2 La 3.29
Sc1 0.5568 0.5000 0.2734  4 W 2.87-3.19, 1 La 3.10
W1 0.0271 0.0000 0.4289  4 Sc 2.87-3.19, 3 La 2.98-3.02

[6]
Material: TiAlV
Method: DFT, PBE
State: optimized geometry

Properties
As for the total magnetic moment: 0.6 Bohr magnetons per cell. The formation energy from the elements is -0.15 eV/atom. For the raw total energy, the calculation gives -7.073 eV per atom. The calculation puts the offset from the most stable computed form at 0.036 eV/atom. The value obtained for the volume is 15.04 A^3/atom.

Cell lengths 4.4310, 4.4310, 2.6541 Å; angles 90.00, 90.00, 120.00 degrees
With the nearest neighbours (Å) after each atom.
Element x y z (fractional)
Ti1 0.0000 0.0000 0.0000  3 V 2.56, 2 Ti 2.65
Al1 0.6667 0.3333 0.5000  2 Al 2.65, 6 Ti 2.88, 6 V 2.88
V1 0.3333 0.6667 0.0000  3 Ti 2.56, 2 V 2.65